Entry 1:
VASP calculation (PBE) on an optimized crystal structure of PmPRuF.

For the formation energy (no corrections), the calculation gives -2051.9 meV per atom. Its space-group type is P4/nmm, No. 129. The density of states at the Fermi level comes out at 4.04 states/eV per cell. As for the size of the total moment: 0.00 μB/f.u.

a = 3.996 Å, b = 3.996 Å, c = 8.222 Å
α = 90.00°, β = 90.00°, γ = 90.00°
Positions (direct):
1 Pm 0.500 0.000 0.690
2 Pm 0.000 0.500 0.310
3 P 0.000 0.500 0.849
4 P 0.500 0.000 0.151
5 Ru 0.500 0.500 0.000
6 Ru 0.000 0.000 0.000
7 F 0.000 0.000 0.500
8 F 0.500 0.500 0.500


Entry 2:
VASP calculation (PBE) on an optimized crystal structure of BaScBiO4.

For the formation energy (no corrections), the calculation gives -2363.5 meV per atom. Its space-group type is P2_1/m, No. 11. The density of states at the Fermi level comes out at 0.00 states/eV per cell. As for the size of the total moment: 0.00 μB/f.u.

a = 6.722 Å, b = 6.201 Å, c = 7.588 Å
α = 90.00°, β = 114.71°, γ = 90.00°
Positions (direct):
1 Ba 0.723 0.750 0.985
2 Ba 0.277 0.250 0.015
3 Sc 0.299 0.750 0.309
4 Sc 0.701 0.250 0.691
5 Bi 0.824 0.750 0.551
6 Bi 0.176 0.250 0.449
7 O 0.925 0.494 0.758
8 O 0.075 0.994 0.242
9 O 0.075 0.506 0.242
10 O 0.925 0.006 0.758
11 O 0.476 0.750 0.166
12 O 0.524 0.250 0.834
13 O 0.523 0.750 0.584
14 O 0.477 0.250 0.416


Entry 3:
VASP calculation (PBE) on an optimized crystal structure of MgAuCl2.

The energy above the most stable polymorph in this dataset comes out at 204 meV/atom. For the formation energy (no corrections), the calculation gives -784.3 meV per atom. Its space-group type is Cmmm, No. 65. The density of states at the Fermi level comes out at 0.73 states/eV per cell. As for the size of the total moment: 0.00 μB/f.u.

a = 3.267 Å, b = 3.267 Å, c = 10.984 Å
α = 90.00°, β = 90.00°, γ = 114.87°
Positions (direct):
1 Au 0.500 0.500 0.750
2 Cl 0.000 0.000 0.103
3 Cl 0.000 0.000 0.397
4 Mg 0.500 0.500 0.250


Entry 4:
VASP calculation (PBE) on an optimized crystal structure of RbTlCl2.

The energy above the most stable polymorph in this dataset comes out at 74 meV/atom. For the formation energy (no corrections), the calculation gives -1405.0 meV per atom. Its space-group type is I-42d, No. 122. The density of states at the Fermi level comes out at 0.00 states/eV per cell. As for the size of the total moment: 0.00 μB/f.u.

a = 7.281 Å, b = 7.281 Å, c = 8.950 Å
α = 66.00°, β = 66.00°, γ = 90.00°
Positions (direct):
1 Tl 0.000 0.000 0.000
2 Tl 0.750 0.250 0.500
3 Rb 0.500 0.500 0.000
4 Rb 0.250 0.750 0.500
5 Cl 0.637 0.125 0.250
6 Cl 0.113 0.625 0.250
7 Cl 0.375 0.363 0.750
8 Cl 0.875 0.887 0.750


Entry 5:
VASP calculation (PBE) on an optimized crystal structure of LiTm2TlS4.

For the formation energy (no corrections), the calculation gives -1638.4 meV per atom. Its space-group type is Cmcm, No. 63. The density of states at the Fermi level comes out at 0.00 states/eV per cell. As for the size of the total moment: 0.00 μB/f.u.

a = 3.968 Å, b = 6.949 Å, c = 13.953 Å
α = 90.00°, β = 90.00°, γ = 106.59°
Positions (direct):
1 Li 0.824 0.648 0.750
2 Li 0.176 0.352 0.250
3 Tm 0.366 0.731 0.561
4 Tm 0.634 0.269 0.061
5 Tm 0.634 0.269 0.439
6 Tm 0.366 0.731 0.939
7 Tl 0.101 0.201 0.750
8 Tl 0.899 0.799 0.250
9 S 0.262 0.524 0.104
10 S 0.738 0.476 0.604
11 S 0.738 0.476 0.896
12 S 0.262 0.524 0.396
13 S 0.000 0.000 0.500
14 S 0.000 0.000 0.000
15 S 0.421 0.843 0.750
16 S 0.579 0.157 0.250


Entry 6:
VASP calculation (PBE) on an optimized crystal structure of AcZnI2O8.

For the formation energy (no corrections), the calculation gives -1022.6 meV per atom. Its space-group type is P-3m1, No. 164. The density of states at the Fermi level comes out at 3.81 states/eV per cell. As for the size of the total moment: 1.06 μB/f.u.

a = 6.068 Å, b = 6.068 Å, c = 6.920 Å
α = 90.00°, β = 90.00°, γ = 120.00°
Each line ends with the local moment (μB).
Positions (direct):
1 Ac 0.000 0.000 0.500  0.04
2 Zn 0.000 0.000 0.000  0.01
3 I 0.333 0.667 0.786  0.06
4 I 0.667 0.333 0.214  0.06
5 O 0.149 0.298 0.793  0.12
6 O 0.149 0.851 0.793  0.12
7 O 0.702 0.851 0.793  0.12
8 O 0.298 0.149 0.207  0.12
9 O 0.667 0.333 0.476  0.00
10 O 0.333 0.667 0.524  0.00
11 O 0.851 0.702 0.207  0.12
12 O 0.851 0.149 0.207  0.12


Entry 7:
VASP calculation (PBE) on an optimized crystal structure of LaTaCu.

The energy above the most stable polymorph in this dataset comes out at 519 meV/atom. Its space-group type is F-43m, No. 216. The density of states at the Fermi level comes out at 4.63 states/eV per cell. As for the size of the total moment: 0.00 μB/f.u. For the formation energy, the calculation gives 0.777 eV/atom.

a = 4.654 Å, b = 4.654 Å, c = 4.654 Å
α = 60.00°, β = 60.00°, γ = 60.00°
Positions (direct):
1 Cu 0.750 0.750 0.750
2 La 0.000 0.000 0.000
3 Ta 0.500 0.500 0.500


Entry 8:
VASP calculation (PBE) on an optimized crystal structure of LaPr2Zn2Sn2.

Its space-group type is R-3m, No. 166. The density of states at the Fermi level comes out at 7.36 states/eV per cell. As for the size of the total moment: 0.00 μB/f.u. For the formation energy, the calculation gives -0.413 eV/atom.

a = 4.694 Å, b = 4.694 Å, c = 10.369 Å
α = 76.92°, β = 76.92°, γ = 60.00°
Positions (direct):
1 La 0.000 0.000 0.000
2 Pr 0.132 0.132 0.604
3 Pr 0.868 0.868 0.396
4 Zn 0.583 0.583 0.250
5 Zn 0.417 0.417 0.750
6 Sn 0.733 0.733 0.800
7 Sn 0.267 0.267 0.200


Entry 9:
VASP calculation (PBE) on an optimized crystal structure of CoPb2W.

The energy above the most stable polymorph in this dataset comes out at 659 meV/atom. Its space-group type is I-4m2, No. 119. The density of states at the Fermi level comes out at 5.18 states/eV per cell. As for the size of the total moment: 1.09 μB/f.u. For the formation energy, the calculation gives 1.074 eV/atom.

a = 5.547 Å, b = 5.547 Å, c = 5.547 Å
α = 137.23°, β = 137.23°, γ = 62.08°
Each line ends with the local moment (μB).
Positions (direct):
1 Co 0.750 0.250 0.500  1.30
2 Pb 0.000 0.000 0.000  -0.02
3 Pb 0.250 0.750 0.500  -0.01
4 W 0.500 0.500 0.000  -0.11


Entry 10:
VASP calculation (PBE) on an optimized crystal structure of SrNiH3.

Its final energy is -3.850 eV/atom. Its space-group type is C2/c, No. 15. The density of states at the Fermi level comes out at 0.00 states/eV per cell. As for the size of the total moment: 0.00 μB/f.u.

a = 8.004 Å, b = 6.374 Å, c = 6.374 Å
α = 73.99°, β = 112.32°, γ = 67.68°
Positions (direct):
1 Sr 0.750 0.164 0.664
2 Sr 0.250 0.836 0.336
3 Sr 0.750 0.582 0.082
4 Sr 0.250 0.418 0.918
5 H 0.359 0.414 0.358
6 H 0.141 0.858 0.914
7 H 0.641 0.586 0.642
8 H 0.859 0.142 0.086
9 H 0.129 0.290 0.227
10 H 0.371 0.727 0.790
11 H 0.871 0.710 0.773
12 H 0.629 0.273 0.210
13 H 0.465 0.139 0.779
14 H 0.035 0.279 0.639
15 H 0.535 0.861 0.221
16 H 0.965 0.721 0.361
17 Ni 0.295 0.240 0.494
18 Ni 0.205 0.994 0.740
19 Ni 0.705 0.760 0.506
20 Ni 0.795 0.006 0.260


Entry 11:
VASP calculation (PBE) on an optimized crystal structure of CsLi2Ca2.

The energy above the most stable polymorph in this dataset comes out at 14 meV/atom. Its space-group type is P4/mbm, No. 127. The density of states at the Fermi level comes out at 8.37 states/eV per cell. As for the size of the total moment: 0.00 μB/f.u. For the formation energy, the calculation gives 0.175 eV/atom.

a = 10.477 Å, b = 10.477 Å, c = 3.845 Å
α = 90.00°, β = 90.00°, γ = 90.00°
Positions (direct):
1 Cs 0.000 0.000 0.000
2 Cs 0.500 0.500 0.000
3 Li 0.663 0.163 0.500
4 Li 0.837 0.663 0.500
5 Li 0.337 0.837 0.500
6 Li 0.163 0.337 0.500
7 Ca 0.876 0.376 0.000
8 Ca 0.624 0.876 0.000
9 Ca 0.124 0.624 0.000
10 Ca 0.376 0.124 0.000


Entry 12:
VASP calculation (PBE) on an optimized crystal structure of Li2BeAl.

The energy above the most stable polymorph in this dataset comes out at 82 meV/atom. Its space-group type is C2/m, No. 12. The density of states at the Fermi level comes out at 0.75 states/eV per cell. As for the size of the total moment: 0.00 μB/f.u. For the formation energy, the calculation gives 0.049 eV/atom.

a = 5.003 Å, b = 5.003 Å, c = 4.007 Å
α = 66.09°, β = 66.09°, γ = 36.04°
Positions (direct):
1 Al 0.750 0.750 0.750
2 Be 0.250 0.250 0.250
3 Li 0.986 0.986 0.014
4 Li 0.514 0.514 0.486


Entry 13:
VASP calculation (PBE) on an optimized crystal structure of Tl3FeOs.

The energy above the most stable polymorph in this dataset comes out at 0 meV/atom. Its space-group type is Pm-3m, No. 221. The density of states at the Fermi level comes out at 8.46 states/eV per cell. As for the size of the total moment: 3.69 μB/f.u. For the formation energy, the calculation gives 1.118 eV/atom.

a = 5.287 Å, b = 5.287 Å, c = 5.287 Å
α = 90.00°, β = 90.00°, γ = 90.00°
Each line ends with the local moment (μB).
Positions (direct):
1 Tl 0.000 0.500 0.000  -0.01
2 Tl 0.000 0.000 0.500  -0.02
3 Tl 0.500 0.000 0.000  0.01
4 Os 0.000 0.000 0.000  0.14
5 Fe 0.500 0.500 0.500  3.31


Entry 14:
VASP calculation (PBE) on an optimized crystal structure of HoHg2Pb.

Its space-group type is I4/mmm, No. 139. The density of states at the Fermi level comes out at 1.46 states/eV per cell. As for the size of the total moment: 0.00 μB/f.u. For the formation energy, the calculation gives -0.305 eV/atom.

a = 4.614 Å, b = 4.616 Å, c = 5.795 Å
α = 113.47°, β = 113.46°, γ = 90.00°
Positions (direct):
1 Ho 0.000 0.000 0.000
2 Hg 0.250 0.750 0.500
3 Hg 0.750 0.250 0.500
4 Pb 0.500 0.500 0.000


Entry 15:
VASP calculation (PBE) on an optimized crystal structure of InTeN2Cl.

The energy above the most stable polymorph in this dataset comes out at 582 meV/atom. For the formation energy (no corrections), the calculation gives 1958.0 meV per atom. Its space-group type is P4/mmm, No. 123. The density of states at the Fermi level comes out at 2.14 states/eV per cell. As for the size of the total moment: 2.20 μB/f.u.

a = 4.264 Å, b = 4.264 Å, c = 5.389 Å
α = 90.00°, β = 90.00°, γ = 90.00°
Each line ends with the local moment (μB).
Positions (direct):
1 Cl 0.000 0.000 0.000  -0.03
2 N 0.000 0.500 0.000  0.80
3 N 0.500 0.000 0.000  0.80
4 Te 0.000 0.000 0.500  0.04
5 In 0.500 0.500 0.500  -0.04


Entry 16:
VASP calculation (PBE) on an optimized crystal structure of Sm3DyIn4.

The energy above the most stable polymorph in this dataset comes out at 172 meV/atom. Its space-group type is Immm, No. 71. The density of states at the Fermi level comes out at 7.33 states/eV per cell. As for the size of the total moment: 0.08 μB/f.u. For the formation energy, the calculation gives -0.314 eV/atom.

a = 3.525 Å, b = 7.021 Å, c = 10.433 Å
α = 109.67°, β = 99.73°, γ = 90.00°
Positions (direct):
1 Sm 0.000 0.500 0.000
2 Sm 0.223 0.223 0.445
3 Sm 0.777 0.777 0.555
4 Dy 0.500 0.000 0.000
5 In 0.374 0.592 0.749
6 In 0.626 0.408 0.251
7 In 0.626 0.843 0.251
8 In 0.374 0.157 0.749


Entry 17:
VASP calculation (PBE) on an optimized crystal structure of RbPmTe.

For the formation energy (no corrections), the calculation gives -546.3 meV per atom. Its space-group type is Cmcm, No. 63. The density of states at the Fermi level comes out at 5.54 states/eV per cell. As for the size of the total moment: 0.13 μB/f.u.

a = 6.337 Å, b = 4.388 Å, c = 10.094 Å
α = 77.45°, β = 90.00°, γ = 90.00°
Positions (direct):
1 Rb 0.750 0.677 0.646
2 Rb 0.250 0.323 0.354
3 Pm 0.500 0.000 0.000
4 Pm 0.000 0.000 0.000
5 Te 0.750 0.865 0.271
6 Te 0.250 0.135 0.729


Entry 18:
VASP calculation (PBE) on an optimized crystal structure of Dy2ThNi.

The energy above the most stable polymorph in this dataset comes out at 562 meV/atom. Its space-group type is R-3m, No. 166. The density of states at the Fermi level comes out at 5.62 states/eV per cell. As for the size of the total moment: 2.11 μB/f.u. For the formation energy, the calculation gives 0.337 eV/atom.

a = 5.226 Å, b = 5.226 Å, c = 5.232 Å
α = 60.04°, β = 60.04°, γ = 60.00°
Each line ends with the local moment (μB).
Positions (direct):
1 Ni 0.000 0.000 0.000  0.29
2 Th 0.500 0.500 0.500  0.65
3 Dy 0.250 0.250 0.249  0.41
4 Dy 0.750 0.750 0.751  0.41


Entry 19:
VASP calculation (PBE) on an optimized crystal structure of Cs2InAg2I6.

For the formation energy (no corrections), the calculation gives -751.4 meV per atom. Its space-group type is C2/m, No. 12. The density of states at the Fermi level comes out at 2.22 states/eV per cell. As for the size of the total moment: 0.00 μB/f.u.

a = 8.562 Å, b = 9.054 Å, c = 8.481 Å
α = 116.17°, β = 90.00°, γ = 118.22°
Positions (direct):
1 Cs 0.743 0.486 0.210
2 Cs 0.257 0.514 0.790
3 In 0.500 0.000 0.500
4 Ag 0.929 0.858 0.808
5 Ag 0.071 0.142 0.192
6 I 0.732 0.463 0.668
7 I 0.210 0.921 0.208
8 I 0.289 0.079 0.792
9 I 0.790 0.079 0.792
10 I 0.711 0.921 0.208
11 I 0.268 0.537 0.332


Entry 20:
VASP calculation (PBE) on an optimized crystal structure of DyHg3.

Its space-group type is Pmmn, No. 59. The density of states at the Fermi level comes out at 4.61 states/eV per cell. As for the size of the total moment: 0.00 μB/f.u. For the formation energy, the calculation gives -0.316 eV/atom.

a = 5.127 Å, b = 5.494 Å, c = 6.807 Å
α = 90.00°, β = 90.00°, γ = 90.00°
Positions (direct):
1 Dy 0.000 0.673 0.000
2 Dy 0.500 0.327 0.500
3 Hg 0.500 0.321 0.000
4 Hg 0.000 0.178 0.749
5 Hg 0.500 0.822 0.751
6 Hg 0.000 0.679 0.500
7 Hg 0.000 0.178 0.251
8 Hg 0.500 0.822 0.249